# Ga2TeAs2

A geometry-optimized Ga2TeAs2 structure (PBE, the Alexandria database). Values from VASP.

Computed properties:
* offset from the most stable computed form: 0.15 eV/f.u.
* raw formation energy: 0.211 eV per atom
* total moment: 0.0 μB/f.u.

Structure (Quantum ESPRESSO input):
```
&SYSTEM
  ibrav = 0, nat = 10, ntyp = 3
/
ATOMIC_SPECIES
As 74.92 As.upf
Ga 69.72 Ga.upf
Te 127.60 Te.upf
ATOMIC_POSITIONS crystal
As 0.361 0.139 0.500
As 0.639 0.861 0.500
As 0.139 0.639 0.500
As 0.861 0.361 0.500
Ga 0.843 0.657 0.000
Ga 0.657 0.157 0.000
Ga 0.343 0.843 0.000
Ga 0.157 0.343 0.000
Te 0.500 0.500 0.000
Te 0.000 0.000 0.000
CELL_PARAMETERS angstrom
-6.343 4.923 -2.357
-5.430 -5.323 3.494
0.201 1.510 2.614
```

***

# KCo2AgH

A geometry-optimized KCo2AgH structure (PBE, the Alexandria database). Values from VASP.

Computed properties:
* total DFT energy (no corrections): -3.414 eV per atom
* total moment: 2.8 μB/f.u.

Structure (Quantum ESPRESSO input):
```
&SYSTEM
  ibrav = 0, nat = 5, ntyp = 4
/
ATOMIC_SPECIES
K 39.10 K.upf
Co 58.93 Co.upf
Ag 107.87 Ag.upf
H 1.01 H.upf
ATOMIC_POSITIONS crystal
K 0.500 0.500 0.500
Co 0.500 0.000 0.000
Co 0.000 0.000 0.500
Ag 0.000 0.500 0.000
H 0.000 0.000 0.000
CELL_PARAMETERS angstrom
3.917 0.000 0.000
0.000 4.805 0.000
0.000 0.000 3.917
```

***

# AcErTlAg

A geometry-optimized AcErTlAg structure (PBE, the Alexandria database). Values from VASP.

Computed properties:
* energy of formation: -0.268 eV/atom
* offset from the most stable computed form: 0.15 eV/f.u.
* total moment: 0.0 μB/f.u.

Structure (Quantum ESPRESSO input):
```
&SYSTEM
  ibrav = 0, nat = 4, ntyp = 4
/
ATOMIC_SPECIES
Tl 204.38 Tl.upf
Ag 107.87 Ag.upf
Ac 227.00 Ac.upf
Er 167.26 Er.upf
ATOMIC_POSITIONS crystal
Tl 0.750 0.750 0.750
Ag 0.250 0.250 0.250
Ac 0.500 0.500 0.500
Er 0.000 0.000 0.000
CELL_PARAMETERS angstrom
5.509 0.000 0.000
2.755 4.771 0.000
2.755 1.590 4.498
```

***

# ZrScPtRh

A geometry-optimized ZrScPtRh structure (PBE, the Alexandria database). Values from VASP.

Computed properties:
* energy of formation: -0.967 eV/atom
* total moment: 0.0 μB/f.u.

Structure (Quantum ESPRESSO input):
```
&SYSTEM
  ibrav = 0, nat = 4, ntyp = 4
/
ATOMIC_SPECIES
Sc 44.96 Sc.upf
Pt 195.08 Pt.upf
Rh 102.91 Rh.upf
Zr 91.22 Zr.upf
ATOMIC_POSITIONS crystal
Sc 0.500 0.500 0.500
Pt 0.750 0.750 0.750
Rh 0.250 0.250 0.250
Zr 0.000 0.000 0.000
CELL_PARAMETERS angstrom
4.671 0.000 0.000
2.335 4.045 0.000
2.335 1.348 3.814
```

***

# CaPdPb

A geometry-optimized CaPdPb structure (PBE, the Alexandria database). Values from VASP.

Computed properties:
* energy of formation: -0.542 eV/atom
* total moment: 0.0 μB/f.u.

Structure (Quantum ESPRESSO input):
```
&SYSTEM
  ibrav = 0, nat = 12, ntyp = 3
/
ATOMIC_SPECIES
Pb 207.20 Pb.upf
Pd 106.42 Pd.upf
Ca 40.08 Ca.upf
ATOMIC_POSITIONS crystal
Pb 0.166 0.250 0.718
Pb 0.834 0.750 0.218
Pb 0.834 0.250 0.218
Pb 0.166 0.750 0.718
Pd 0.853 0.500 0.917
Pd 0.147 0.000 0.019
Pd 0.147 0.500 0.417
Pd 0.853 0.000 0.519
Ca 0.341 0.500 0.069
Ca 0.341 0.000 0.366
Ca 0.659 0.500 0.569
Ca 0.659 0.000 0.866
CELL_PARAMETERS angstrom
5.577 0.000 0.000
0.000 6.492 0.000
0.000 0.000 8.222
```

***

# Li2CaCr

A geometry-optimized Li2CaCr structure (PBE, the Alexandria database). Values from VASP.

Computed properties:
* energy of formation: 0.408 eV/atom
* offset from the most stable computed form: 0.02 eV/f.u.
* total moment: 4.4 μB/f.u.

Structure (Quantum ESPRESSO input):
```
&SYSTEM
  ibrav = 0, nat = 4, ntyp = 3
/
ATOMIC_SPECIES
Li 6.94 Li.upf
Cr 52.00 Cr.upf
Ca 40.08 Ca.upf
ATOMIC_POSITIONS crystal
Li 0.250 0.750 0.500
Li 0.000 0.000 0.000
Cr 0.750 0.250 0.500
Ca 0.500 0.500 0.000
CELL_PARAMETERS angstrom
5.577 0.001 0.000
1.867 5.255 0.000
-3.722 -2.628 3.216
```